# Ho2Pd7Au3 PBE optimized geometry
data_Ho2Pd7Au3
_chemical_formula_sum 'Ho2 Pd7 Au3'
_symmetry_space_group_name_H-M 'P -1'
_symmetry_Int_Tables_number 2
_symmetry_space_group_name_Hall '-P 1'
_cell_length_a 4.523
_cell_length_b 5.132
_cell_length_c 10.723
_cell_angle_alpha 102.35
_cell_angle_beta 91.99
_cell_angle_gamma 113.05
loop_
_atom_site_label
_atom_site_type_symbol
_atom_site_fract_x
_atom_site_fract_y
_atom_site_fract_z
_atom_site_occupancy
Ho1 Ho 0.220 0.437 0.266 1
Pd1 Pd 0.000 0.000 0.000 1
Pd2 Pd 0.080 0.186 0.770 1
Pd3 Pd 0.169 0.312 0.531 1
Pd4 Pd 0.462 0.934 0.867 1
Au1 Au 0.445 0.920 0.614 1
Au2 Au 0.500 0.500 0.000 1
# Formation energy from the elements (eV/atom): -0.4987
# Magnetization (μB per atom): 0.00